No. 1
## LiHoGaSn (PBE)

Data for an optimized crystal structure of LiHoGaSn.

Geometry as POSCAR:
```
LiHoGaSn
1.0
4.329 0.000 0.000
0.000 4.480 0.000
0.000 0.000 4.369
Li Ho Ga Sn
1 1 1 1
Direct
0.500 0.000 0.500
0.500 0.500 0.000
0.000 0.500 0.500
0.000 0.000 0.000
```

Properties
DFT formation energy: -516 meV per atom
distance to the lowest polymorph of the same formula: 0.000 eV/atom
symmetry: Pmmm
total energy: -15.6 eV per formula unit

=====

No. 2
## RuBr2 (PBE)

Data for an optimized crystal structure of RuBr2.

Geometry as POSCAR:
```
RuBr2
1.0
7.505 0.076 0.000
6.002 4.507 0.000
-6.753 -2.292 2.339
Ru Br
1 2
Direct
0.000 0.000 0.000
0.617 0.617 0.000
0.383 0.383 0.000
```

Properties
formation energy (no corrections): 0.485 eV per atom
distance to the lowest polymorph of the same formula: 0.550 eV/atom
symmetry: I4/mmm
total energy: -11.2 eV per formula unit

=====

No. 3
## CePaTeAu (PBE)

Data for an optimized crystal structure of CePaTeAu.

Geometry as POSCAR:
```
CePaTeAu
1.0
5.289 0.000 0.000
2.644 4.580 0.000
2.644 1.527 4.318
Te Pa Au Ce
1 1 1 1
Direct
0.750 0.750 0.750
0.500 0.500 0.500
0.250 0.250 0.250
0.000 0.000 0.000
```

Properties
formation energy (no corrections): -0.484 eV per atom
symmetry: F-43m
total energy: -23.8 eV per formula unit